Entry 1:
VASP calculation (PBE-GGA) on Hg2Pt2Au15 after structural relaxation.

Computed properties:
- formation energy from the elements (eV per atom) = 0.151
- symmetry = R-3m (166)

```
Hg2Pt2Au15
1.0
-0.954 6.137 -3.792
-4.994 -2.562 -4.631
-5.867 2.379 3.587
Hg Pt Au
2 2 15
Cartesian
-8.186 4.125 -3.350
-3.629 1.829 -1.485
-10.662 5.373 -4.364
-1.153 0.581 -0.472
-2.497 -1.281 -2.316
-2.934 1.189 1.794
-0.477 3.069 -1.896
-9.355 0.968 -3.305
-2.192 3.471 -4.049
-5.262 -1.048 -2.112
-3.756 0.104 -4.374
-6.553 7.002 -2.723
-2.460 4.985 -1.530
-6.584 0.811 -3.971
-7.015 3.250 0.085
-4.590 5.105 -3.557
-5.231 5.143 -0.864
-4.800 2.704 -4.920
-7.225 0.849 -1.278
```

=====

Entry 2:
VASP calculation (PBE-GGA) on BaGaSN2 after structural relaxation.

Computed properties:
- uncorrected formation energy (eV/atom) = 1.380
- polymorph energy (0 for the lowest one) (meV per atom) = 1139
- symmetry = P4/mmm (123)

```
BaGaSN2
1.0
-3.488 1.104 3.794
-3.900 -1.779 -3.067
0.731 -5.546 2.287
S Ba Ga N
1 1 1 2
Cartesian
0.366 -2.773 1.143
0.000 0.000 0.000
-3.328 -3.110 1.507
-1.950 -0.889 -1.534
-1.744 0.552 1.897
```

=====

Entry 3:
VASP calculation (PBE-GGA) on BaHg2F8 after structural relaxation.

Computed properties:
- uncorrected formation energy (eV/atom) = -1.761
- polymorph energy (0 for the lowest one) (meV per atom) = 113
- symmetry = P1 (1)

```
BaHg2F8
1.0
4.730 -0.048 0.000
2.430 6.002 -0.307
0.004 -0.423 6.793
F Ba Hg
8 1 2
Cartesian
1.138 0.478 4.442
2.406 3.498 4.399
3.619 0.436 4.430
4.784 4.396 5.732
2.376 1.079 1.011
6.099 4.461 1.696
4.749 2.246 2.617
3.490 4.529 1.701
2.430 5.547 6.477
4.783 4.486 3.568
2.384 2.079 2.845
```

=====

no.,DOS at the Fermi energy (states/eV/f.u.)
1,9.376
2,3.295
3,3.512